No. 1
DFT (PBE-GGA) results for an optimized crystal structure of Na2PuTe4As.

The size of the total moment is 5.00 μB/f.u. The calculation puts the uncorrected formation energy at -0.65 eV/atom.

The structure belongs to space group P2/m (No. 10); the cell edges are 7.691, 4.383 and 7.854 Å and the angles 90.00°, 108.80° and 90.00°. The asymmetric unit holds Na at (0.000, 0.000, 0.000), Na at (0.500, 0.500, 0.000), Pu at (0.000, 0.500, 0.500), Te at (0.258, 0.000, 0.727), Te at (0.276, 0.500, 0.281) and As at (0.500, 0.000, 0.500).

=====

No. 2
DFT (PBE-GGA) results for an optimized crystal structure of NaPuTh2As4.

The size of the total moment is 4.96 μB/f.u. The electronic total energy is -57.39 eV for the cell shown.

The structure belongs to space group P2/m (No. 10); the cell edges are 7.261, 4.279 and 7.377 Å and the angles 90.00°, 109.36° and 90.00°. The asymmetric unit holds Na at (0.000, 0.000, 0.000), Pu at (0.000, 0.500, 0.500), Th at (0.500, 0.000, 0.500), Th at (0.500, 0.500, 0.000), As at (0.248, 0.000, 0.746) and As at (0.257, 0.500, 0.259).

=====

No. 3
DFT (PBE-GGA) results for an optimized crystal structure of Na2PuZnAs2.

The size of the total moment is 5.92 μB/f.u. The electronic total energy is -61.48 eV for the cell shown.

The structure belongs to space group Pmc2_1 (No. 26); the cell edges are 4.333, 8.630 and 7.230 Å and the angles 90.00°, 90.00° and 90.00°. The asymmetric unit holds Na at (0.000, 0.088, 0.000), Na at (0.500, 0.157, 0.324), Pu at (0.500, 0.453, 0.968), Zn at (0.000, 0.316, 0.631), As at (0.000, 0.384, 0.251) and As at (0.500, 0.178, 0.722).